Density functional theory data (PBE-GGA) for a relaxed Sm3Sn2 crystal.

## Properties
Formation enthalpy at 0 K, eV/atom: -0.608
Calculated volume, Å³/f.u.: 161
ρ, kg/m³: 7086

Cell: 4.460 11.754 12.312 Å, 90.00 90.00 90.00°
Atoms (fractional coordinates):
Sm 0.250 0.557 0.873
Sm 0.250 0.869 0.050
Sm 0.250 0.631 0.550
Sm 0.750 0.705 0.274
Sm 0.250 0.295 0.726
Sm 0.750 0.057 0.627
Sm 0.250 0.205 0.226
Sm 0.750 0.131 0.950
Sm 0.750 0.795 0.774
Sm 0.250 0.943 0.373
Sm 0.750 0.443 0.127
Sm 0.750 0.369 0.450
Sn 0.750 0.003 0.187
Sn 0.750 0.816 0.508
Sn 0.250 0.316 0.992
Sn 0.250 0.503 0.313
Sn 0.750 0.684 0.008
Sn 0.750 0.497 0.687
Sn 0.250 0.184 0.492
Sn 0.250 0.997 0.813

=====

Density functional theory data (PBE-GGA) for a relaxed Sm3Sn crystal.

## Properties
Formation enthalpy at 0 K, eV/atom: -0.357
Calculated volume, Å³/f.u.: 122
ρ, kg/m³: 7772

Cell: 3.628 5.957 6.625 Å, 116.72 105.89 90.00°
Atoms (fractional coordinates):
Sm 0.728 0.069 0.457
Sm 0.500 0.473 0.000
Sm 0.272 0.612 0.543
Sn 0.000 0.012 0.000

=====

Density functional theory data (PBE-GGA) for a relaxed Sm3Sn crystal.

## Properties
Formation enthalpy at 0 K, eV/atom: -0.314
Calculated volume, Å³/f.u.: 121
ρ, kg/m³: 7833

Cell: 3.591 5.515 6.099 Å, 90.00 90.00 90.00°
Atoms (fractional coordinates):
Sm 0.500 0.500 0.847
Sm 0.000 0.000 0.010
Sm 0.500 0.000 0.477
Sn 0.000 0.500 0.333

=====

Density functional theory data (PBE-GGA) for a relaxed Sm3Sn crystal.

## Properties
Formation enthalpy at 0 K, eV/atom: -0.250
Calculated volume, Å³/f.u.: 118
ρ, kg/m³: 7990

Cell: 5.512 5.512 5.512 Å, 60.00 60.00 60.00°
Atoms (fractional coordinates):
Sm 0.750 0.750 0.750
Sm 0.000 0.000 0.000
Sm 0.250 0.250 0.250
Sn 0.500 0.500 0.500

=====

Density functional theory data (PBE-GGA) for a relaxed SmSn2 crystal.

## Properties
Formation enthalpy at 0 K, eV/atom: -0.308
Calculated volume, Å³/f.u.: 84
ρ, kg/m³: 7654

Cell: 6.197 6.197 6.197 Å, 60.00 60.00 60.00°
Atoms (fractional coordinates):
Sm 0.250 0.250 0.250
Sm 0.000 0.000 0.000
Sn 0.625 0.625 0.125
Sn 0.625 0.625 0.625
Sn 0.125 0.625 0.625
Sn 0.625 0.125 0.625

=====

Density functional theory data (PBE-GGA) for a relaxed Sm8Sn3 crystal.

## Properties
Formation enthalpy at 0 K, eV/atom: -0.153
Calculated volume, Å³/f.u.: 387
ρ, kg/m³: 6691

Cell: 7.287 7.287 7.287 Å, 89.39 89.39 89.39°
Atoms (fractional coordinates):
Sm 0.856 0.126 0.684
Sm 0.874 0.316 0.144
Sm 0.126 0.684 0.856
Sm 0.352 0.352 0.352
Sm 0.316 0.144 0.874
Sm 0.684 0.856 0.126
Sm 0.648 0.648 0.648
Sm 0.144 0.874 0.316
Sn 0.500 0.500 0.000
Sn 0.500 0.000 0.500
Sn 0.000 0.500 0.500

=====

Density functional theory data (PBE-GGA) for a relaxed Sm3Sn4 crystal.

## Properties
Formation enthalpy at 0 K, eV/atom: -0.707
Calculated volume, Å³/f.u.: 202
ρ, kg/m³: 7627

Cell: 4.407 6.231 15.695 Å, 90.00 90.00 110.71°
Atoms (fractional coordinates):
Sn 0.624 0.248 0.608
Sn 0.001 0.002 0.500
Sn 0.001 0.002 0.000
Sn 0.624 0.248 0.893
Sn 0.378 0.756 0.393
Sn 0.378 0.756 0.108
Sn 0.214 0.427 0.250
Sn 0.789 0.578 0.750
Sm 0.668 0.336 0.098
Sm 0.946 0.893 0.250
Sm 0.668 0.336 0.403
Sm 0.056 0.112 0.750
Sm 0.334 0.669 0.598
Sm 0.334 0.669 0.903

=====

Density functional theory data (PBE-GGA) for a relaxed SrSm2Sn crystal.

## Properties
Formation enthalpy at 0 K, eV/atom: -0.302
Calculated volume, Å³/f.u.: 127
ρ, kg/m³: 6630

Cell: 4.978 5.051 5.051 Å, 90.00 90.00 90.00°
Atoms (fractional coordinates):
Sr 0.500 0.000 0.000
Sm 0.000 0.000 0.500
Sm 0.000 0.500 0.000
Sn 0.500 0.500 0.500

=====

Density functional theory data (PBE-GGA) for a relaxed SrSmSn crystal.

## Properties
Formation enthalpy at 0 K, eV/atom: -0.560
Calculated volume, Å³/f.u.: 107
ρ, kg/m³: 5519

Cell: 4.983 4.981 8.649 Å, 90.01 90.01 90.00°
Atoms (fractional coordinates):
Sr 0.814 0.866 0.563
Sr 0.314 0.367 0.276
Sn 0.313 0.366 0.675
Sn 0.814 0.867 0.164
Sm 0.814 0.366 0.920
Sm 0.314 0.866 0.920

=====

Density functional theory data (PBE-GGA) for a relaxed SrSmSn crystal.

## Properties
Formation enthalpy at 0 K, eV/atom: -0.448
Calculated volume, Å³/f.u.: 113
ρ, kg/m³: 5221

Cell: 5.400 5.400 10.934 Å, 119.57 119.57 60.00°
Atoms (fractional coordinates):
Sn 0.013 0.013 0.769
Sn 0.987 0.987 0.231
Sm 0.749 0.749 0.874
Sm 0.251 0.251 0.126
Sr 0.752 0.752 0.378
Sr 0.248 0.248 0.622

=====

Density functional theory data (PBE-GGA) for a relaxed Sr3SmSn12 crystal.

## Properties
Formation enthalpy at 0 K, eV/atom: -0.414
Calculated volume, Å³/f.u.: 452
ρ, kg/m³: 6753

Cell: 4.820 4.820 19.448 Å, 90.00 90.00 90.00°
Atoms (fractional coordinates):
Sn 0.000 0.500 0.626
Sn 0.000 0.500 0.374
Sn 0.500 0.000 0.879
Sn 0.500 0.500 0.500
Sn 0.500 0.000 0.626
Sn 0.500 0.000 0.374
Sn 0.500 0.500 0.248
Sn 0.500 0.500 0.000
Sn 0.000 0.500 0.879
Sn 0.500 0.000 0.121
Sn 0.000 0.500 0.121
Sn 0.500 0.500 0.752
Sr 0.000 0.000 0.500
Sr 0.000 0.000 0.753
Sr 0.000 0.000 0.247
Sm 0.000 0.000 0.000

=====

Density functional theory data (PBE-GGA) for a relaxed SrSm4Sn4 crystal.

## Properties
Formation enthalpy at 0 K, eV/atom: -0.521
Calculated volume, Å³/f.u.: 332
ρ, kg/m³: 5820

Cell: 6.262 10.298 10.298 Å, 90.00 90.00 90.00°
Atoms (fractional coordinates):
Sr 0.000 0.000 0.000
Sr 0.500 0.500 0.500
Sn 0.095 0.841 0.693
Sn 0.595 0.193 0.659
Sn 0.405 0.659 0.807
Sn 0.405 0.341 0.193
Sn 0.595 0.807 0.341
Sn 0.095 0.159 0.307
Sn 0.905 0.307 0.841
Sn 0.905 0.693 0.159
Sm 0.610 0.115 0.362
Sm 0.890 0.385 0.138
Sm 0.110 0.862 0.385
Sm 0.390 0.362 0.885
Sm 0.610 0.885 0.638
Sm 0.110 0.138 0.615
Sm 0.890 0.615 0.862
Sm 0.390 0.638 0.115